Compound: K2CeBr2O2
Source: Alexandria
Functional: GGA-PBE
Structure: optimized geometry

Structure (POSCAR):
```
K2CeBr2O2
1.0
-1.105 4.067 1.394
-2.805 0.408 -3.415
-4.563 -5.701 5.951
K Br O Ce
2 2 2 1
Direct
0.376 0.376 0.751 K
0.624 0.624 0.249 K
0.830 0.830 0.661 Br
0.170 0.170 0.339 Br
0.000 0.500 0.000 O
0.500 0.000 0.000 O
0.000 0.000 0.000 Ce
```

Calculated values
**Density of states at the Fermi level**: 0.00 states/eV per cell
**E_form (uncorrected)**: -2289 meV per atom